Density functional theory data (GGA-PBE) for a relaxed Th3Zn8Hg3 crystal.

As for the total energy: -2.6218 eV/atom.

It has space group Immm (No. 71), with a = 4.506 Å, b = 9.367 Å, c = 13.650 Å, α = 90.00°, β = 90.00° and γ = 90.00°. Symmetry generates all atoms from Th at (0.000, 0.000, 0.000), Th at (0.000, 0.000, 0.299), Zn at (0.000, 0.268, 0.154), Zn at (0.000, 0.369, 0.336), Hg at (0.000, 0.214, 0.500) and Hg at (0.000, 0.500, 0.000).